# TbAgSn2Se4

TbAgSn2Se4 after structural relaxation (PBE, the Alexandria database).

Output
- N(E_F) (states/eV per atom) = 0.006
- final energy (eV/cell) = -35.52
- calculated volume (Å³/cell) = 210.4
- uncorrected formation energy (eV/atom) = -0.762

Unit cell a=7.171 b=4.194 c=7.422 alpha=90.00 beta=109.49 gamma=90.00
Space group P2/m (No. 10)
Inequivalent atoms, fractional coordinates:
Tb (0.000, 0.000, 0.000)
Ag (0.500, 0.500, 0.000)
Sn (0.000, 0.500, 0.500)
Sn (0.500, 0.000, 0.500)
Se (0.240, 0.500, 0.238)
Se (0.253, 0.000, 0.765)

# TbAg2Sn3Se6

TbAg2Sn3Se6 after structural relaxation (PBE, the Alexandria database).

Output
- N(E_F) (states/eV per atom) = 0.326
- final energy (eV/cell) = -101.02
- calculated volume (Å³/cell) = 612.8
- uncorrected formation energy (eV/atom) = -0.605

Unit cell a=7.159 b=12.431 c=7.283 alpha=90.00 beta=109.00 gamma=90.00
Space group C2/m (No. 12)
Inequivalent atoms, fractional coordinates:
Tb (0.000, 0.000, 0.000)
Ag (0.000, 0.329, 0.000)
Sn (0.000, 0.162, 0.500)
Sn (0.000, 0.500, 0.500)
Se (0.246, 0.164, 0.239)
Se (0.248, 0.000, 0.756)

# Tb3Ag3SnSe8

Tb3Ag3SnSe8 after structural relaxation (PBE, the Alexandria database).

Output
- N(E_F) (states/eV per atom) = 0.142
- final energy (eV/cell) = -138.25
- calculated volume (Å³/cell) = 779.2
- uncorrected formation energy (eV/atom) = -0.987

Unit cell a=13.990 b=8.269 c=8.141 alpha=90.00 beta=124.17 gamma=90.00
Space group C2/m (No. 12)
Inequivalent atoms, fractional coordinates:
Tb (0.000, 0.000, 0.000)
Tb (0.250, 0.250, 0.500)
Ag (0.000, 0.500, 0.500)
Ag (0.250, 0.250, 0.000)
Sn (0.000, 0.500, 0.000)
Se (0.001, 0.262, 0.761)
Se (0.239, 0.500, 0.238)
Se (0.247, 0.000, 0.254)

# Tb3Ag4SnSe8

Tb3Ag4SnSe8 after structural relaxation (PBE, the Alexandria database).

Output
- N(E_F) (states/eV per atom) = 0.121
- final energy (eV/cell) = -216.55
- calculated volume (Å³/cell) = 1170.6
- uncorrected formation energy (eV/atom) = -0.938

Unit cell a=8.3531 b=8.3531 c=19.3732 alpha=90.00 beta=90.00 gamma=120.00
Space group R-3m (No. 166, hexagonal axes)
Inequivalent atoms, fractional coordinates:
Tb (0.0000, 0.5000, 0.0000)
Ag (0.0000, 0.0000, 0.5000)
Ag (0.0000, 0.5000, 0.5000)
Sn (0.0000, 0.0000, 0.0000)
Se (0.0000, 0.0000, 0.2516)
Se (0.0013, 0.5007, 0.7500)